{"formula": "SnBMoF2", "functional": "GGA+U", "state": "relaxed", "vol_a3_per_cell": 76.8, "magmom_total_mub_per_cell": 3.230, "energy_ev_per_cell": -21.07, "spacegroup": "No. 123", "lattice": [[3.9766, 0.0000, 0.0000], [0.0000, 4.8559, 0.0000], [0.0000, 0.0000, 3.9766]], "species": ["B", "F", "F", "Sn", "Mo"], "frac_coords": [[0.0000, 0.0000, 0.0000], [0.0000, 0.0000, 0.5000], [0.5000, 0.0000, 0.0000], [0.0000, 0.5000, 0.0000], [0.5000, 0.5000, 0.5000]]}